A plane-wave DFT calculation with GGA-PBE was carried out for an optimized crystal structure of Cs3RbB.

a = 7.1851 Å, b = 7.1851 Å, c = 7.1851 Å
α = 90.00°, β = 90.00°, γ = 90.00°
Closest atoms and distances in Å follow each position.
Sites, in units of the cell vectors:
Cs (0.0000, 0.0000, 0.5000)  2 B 3.59
Cs (0.0000, 0.5000, 0.0000)  2 B 3.59
Cs (0.5000, 0.0000, 0.0000)  2 B 3.59
Rb (0.5000, 0.5000, 0.5000)  12 Cs 5.08
B (0.0000, 0.0000, 0.0000)  6 Cs 3.59

Computed properties:
- M_tot: 2.83 μB per cell
- E_tot: -6.48 eV for the cell shown
- ΔE to the lowest computed polymorph: 0.000 eV per formula unit
- SG: Pm-3m, No. 221